Compound: K2NdCo3F12
Source: Alexandria via LeMat-Bulk
Functional: GGA+U
Structure: optimized geometry Values from VASP.

total magnetization = 10.000 μB/f.u.
SG = R-3m, No. 166
raw total energy = -92.68 eV per cell

The structure in Quantum ESPRESSO input format:
```
&SYSTEM
  ibrav = 0, nat = 18, ntyp = 4
/
ATOMIC_SPECIES
F 19.00 F.upf
Co 58.93 Co.upf
K 39.10 K.upf
Nd 144.24 Nd.upf
ATOMIC_POSITIONS angstrom
F 7.968 1.889 1.340
Co 1.595 0.928 2.978
F 3.235 3.947 0.612
F 5.407 5.896 4.182
F 7.797 1.790 4.182
F 8.345 6.922 4.910
K 8.236 4.794 3.400
F 5.030 0.863 0.612
Co 3.498 -0.153 -0.109
F 3.235 1.883 3.523
F 7.797 4.539 0.306
F 10.140 5.902 1.999
Co 1.595 3.117 -0.109
F 10.140 3.838 4.910
F 5.577 3.246 5.215
K 5.138 2.991 2.121
Nd 0.000 0.000 0.000
F 5.577 5.995 1.340
CELL_PARAMETERS angstrom
6.996 -0.306 -0.217
3.189 6.235 -0.217
3.189 1.856 5.956
```